Sc2CdBr after structural relaxation. Source: Alexandria, functional PBE.

Output
Its formation energy without anion corrections is -194 meV per atom. The magnetization is 0.01 μB/f.u. The calculation puts the relative energy among the computed polymorphs at 304 meV/atom. Its space-group type is I-4m2, No. 119. As for the calculated volume: 93.18 Å³/cell.

Cell lengths 6.170, 6.170, 6.170 Å; angles 140.78, 140.78, 56.68 degrees
Atoms (fractional coordinates):
Br1 0.500 0.500 0.000
Sc1 0.000 0.000 0.000
Sc2 0.250 0.750 0.500
Cd1 0.750 0.250 0.500